# 1
Below is RbF3 after structural relaxation, with properties calculated at the PBE level.

Geometry as extended XYZ:
```
4
Lattice="2.104 1.215 5.975 -2.104 1.215 5.975 0.000 -2.430 5.975" Properties=species:S:1:pos:R:3 pbc="T T T"
Rb 0.000 0.000 0.000
F 0.000 0.000 7.246
F 0.000 0.000 8.962
F 0.000 0.000 10.678
```

Energy relative to the elements, uncorrected (meV/atom): -1446
Theoretical density (g/cm³): 2.58

=====

# 2
Below is ScSiSbTe2 after structural relaxation, with properties calculated at the PBE level.

Geometry as extended XYZ:
```
5
Lattice="5.467 0.000 0.000 0.000 5.467 0.000 0.000 0.000 5.510" Properties=species:S:1:pos:R:3 pbc="T T T"
Sc 0.000 0.000 0.000
Si 2.734 2.734 2.755
Sb 0.000 0.000 2.755
Te 0.000 2.734 0.000
Te 2.734 0.000 0.000
```

Energy relative to the elements, uncorrected (meV/atom): 378
Theoretical density (g/cm³): 4.54
Distance to the lowest polymorph of the same formula (eV per atom): 0.156

=====

# 3
Below is Tb2Be17 after structural relaxation, with properties calculated at the PBE level.

Geometry as extended XYZ:
```
19
Lattice="3.870 2.234 3.763 -3.870 2.234 3.763 0.000 -4.468 3.763" Properties=species:S:1:pos:R:3 pbc="T T T"
Tb 0.000 0.000 1.818
Tb 0.000 0.000 9.472
Be -1.935 -1.117 3.763
Be 0.000 -2.208 3.699
Be -1.912 1.104 3.699
Be -1.075 -1.862 5.645
Be -2.150 0.000 5.645
Be -1.912 -1.104 7.592
Be 0.000 0.000 4.576
Be -1.935 1.117 7.527
Be 1.075 -1.862 5.645
Be 0.000 2.234 3.763
Be -1.075 1.862 5.645
Be 0.000 0.000 6.714
Be 1.912 1.104 3.699
Be 2.150 0.000 5.645
Be 1.075 1.862 5.645
Be 1.912 -1.104 7.592
Be 0.000 2.208 7.592
```

Energy of formation from the pure elements (eV per formula unit): -2.5
Theoretical density (g/cm³): 4.01

=====

# 4
Below is AlTlTe2 after structural relaxation, with properties calculated at the PBE level.

Geometry as extended XYZ:
```
32
Lattice="5.915 -5.910 0.000 5.915 5.910 0.000 -3.600 0.000 16.349" Properties=species:S:1:pos:R:3 pbc="T T T"
Al 1.731 3.807 13.659
Al 1.800 0.905 10.679
Al 4.698 3.807 10.866
Al 3.600 -0.905 2.504
Al 4.629 0.905 13.845
Al 3.531 -3.807 5.484
Al 6.429 -0.905 5.671
Al 6.498 -3.807 2.691
Tl 4.670 3.277 1.809
Tl 2.220 0.266 6.118
Tl 5.359 3.277 6.366
Tl 0.420 -0.266 14.293
Tl 7.809 0.266 2.056
Tl 2.870 -3.277 9.984
Tl 6.009 -0.266 10.231
Tl 3.559 -3.277 14.541
Te 0.139 2.444 12.025
Te 3.214 5.487 12.262
Te 2.199 0.783 1.031
Te 3.429 2.261 9.130
Te 0.398 -0.783 9.206
Te 2.999 2.261 15.394
Te 1.940 -2.444 3.850
Te 5.015 0.674 4.087
Te 3.214 -0.674 12.262
Te 6.289 2.444 12.499
Te 5.230 -2.261 0.955
Te 7.831 0.783 7.144
Te 4.800 -2.261 7.220
Te 6.030 -0.783 15.319
Te 5.015 -5.487 4.087
Te 8.090 -2.444 4.325
```

Energy relative to the elements, uncorrected (meV/atom): -440
Theoretical density (g/cm³): 5.66

=====

# 5
Below is Sm7Er2Sc2 after structural relaxation, with properties calculated at the PBE level.

Geometry as extended XYZ:
```
11
Lattice="3.198 -5.804 0.000 3.198 5.804 0.000 0.000 0.000 9.932" Properties=species:S:1:pos:R:3 pbc="T T T"
Sm 0.000 0.000 0.000
Sm 1.599 2.902 3.151
Sm 1.599 2.902 6.781
Sm 1.599 -2.902 3.151
Sm 1.599 -2.902 6.781
Sm 3.198 0.000 2.046
Sm 3.198 0.000 7.886
Er 3.198 2.494 0.000
Er 3.198 -2.494 0.000
Sc 1.620 0.000 4.966
Sc 4.775 0.000 4.966
```

Energy of formation from the pure elements (eV per formula unit): 4.0
Theoretical density (g/cm³): 6.65

=====

Question: Which of these has the highest theoretical density?
Answer: Sm7Er2Sc2